Record 1
# CdSi2Ag

A relaxed CdSi2Ag crystal (PBE, the Alexandria database).

Cell lengths 3.1316, 3.1316, 7.4443 Å; angles 90.00, 90.00, 90.00 degrees
Last column: nearest neighbours and their distance in Å.
Fractional coordinates of all 4 atoms:
Ag (0.0000, 0.0000, 0.4715)  5 Si 2.89-3.13, 4 Cd 3.06, 4 Ag 3.13
Si (0.0000, 0.0000, 0.0517)  4 Si 2.55
Si (0.5000, 0.5000, 0.2223)  4 Si 2.55
Cd (0.5000, 0.5000, 0.7545)  4 Ag 3.06, 4 Si 3.13, 4 Cd 3.13

---

Record 2
# CdSi2Ag

A relaxed CdSi2Ag crystal (PBE, the Alexandria database).

Cell lengths 5.0868, 5.0868, 5.0868 Å; angles 131.20, 131.20, 71.50 degrees
Last column: nearest neighbours and their distance in Å.
Fractional coordinates of all 4 atoms:
Si (0.0000, 0.0000, 0.0000)  4 Cd 2.95, 4 Ag 2.95, 4 Si 2.97
Si (0.5000, 0.5000, 0.0000)  4 Ag 2.95, 4 Cd 2.95, 4 Si 2.97
Ag (0.7500, 0.2500, 0.5000)  8 Si 2.95, 4 Cd 2.97
Cd (0.2500, 0.7500, 0.5000)  8 Si 2.95, 4 Ag 2.97

---

Record 3
# Cd3SiAg

A relaxed Cd3SiAg crystal (PBE, the Alexandria database).

* relative energy among the computed polymorphs: 0.199 eV per atom

Cell lengths 5.1820, 5.1820, 5.1820 Å; angles 90.00, 90.00, 90.00 degrees
Last column: nearest neighbours and their distance in Å.
Fractional coordinates of all 5 atoms:
Cd (0.5000, 0.0000, 0.0000)  2 Ag 2.59
Cd (0.0000, 0.0000, 0.5000)  2 Ag 2.59
Cd (0.0000, 0.5000, 0.0000)  2 Ag 2.59
Si (0.5000, 0.5000, 0.5000)  12 Cd 3.66
Ag (0.0000, 0.0000, 0.0000)  6 Cd 2.59

---

Record 4
# Cd4SiAg

A relaxed Cd4SiAg crystal (PBE, the Alexandria database).

Cell lengths 5.7056, 5.7056, 5.7056 Å; angles 60.00, 60.00, 60.00 degrees
Last column: nearest neighbours and their distance in Å.
Fractional coordinates of all 6 atoms:
Cd (0.3748, 0.3748, 0.3748)  6 Cd 2.85-2.86
Cd (0.3748, 0.8755, 0.3748)  6 Cd 2.85-2.86
Cd (0.8755, 0.3748, 0.3748)  6 Cd 2.85-2.86
Cd (0.3748, 0.3748, 0.8755)  6 Cd 2.85-2.86
Ag (0.0000, 0.0000, 0.0000)  12 Cd 3.34, 4 Si 3.49
Si (0.7500, 0.7500, 0.7500)  12 Cd 3.35, 4 Ag 3.49

---

Record 5
# CdSi2Ag

A relaxed CdSi2Ag crystal (PBE, the Alexandria database).

Cell lengths 5.1622, 5.1622, 2.8083 Å; angles 90.00, 90.00, 90.00 degrees
Last column: nearest neighbours and their distance in Å.
Fractional coordinates of all 4 atoms:
Cd (0.0000, 0.5000, 0.5000)  2 Cd 2.81, 8 Si 2.94
Ag (0.5000, 0.0000, 0.5000)  2 Ag 2.81, 8 Si 2.94
Si (0.0000, 0.0000, 0.0000)  2 Si 2.81, 4 Cd 2.94, 4 Ag 2.94
Si (0.5000, 0.5000, 0.0000)  2 Si 2.81, 4 Ag 2.94, 4 Cd 2.94

---

Record 6
# CdSi2Ag

A relaxed CdSi2Ag crystal (PBE, the Alexandria database).

Cell lengths 5.2933, 5.2933, 5.0415 Å; angles 79.91, 79.91, 31.94 degrees
Last column: nearest neighbours and their distance in Å.
Fractional coordinates of all 4 atoms:
Ag (0.2500, 0.2500, 0.2500)  6 Si 2.89-2.99, 4 Cd 2.91, 2 Ag 2.91
Cd (0.7500, 0.7500, 0.7500)  4 Ag 2.91, 2 Cd 2.91, 6 Si 3.10-3.13
Si (0.9919, 0.9919, 0.0447)  2 Si 2.56
Si (0.5081, 0.5081, 0.4553)  2 Si 2.56

---

Record 7
# CdSi2Ag

A relaxed CdSi2Ag crystal (PBE, the Alexandria database).

Cell lengths 10.3706, 10.3706, 10.3706 Å; angles 15.87, 15.87, 15.87 degrees
Last column: nearest neighbours and their distance in Å.
Fractional coordinates of all 4 atoms:
Ag (0.2500, 0.2500, 0.2500)  6 Si 2.84, 6 Ag 2.86
Si (0.5080, 0.5080, 0.5080)  3 Ag 2.84, 6 Si 2.86
Si (0.9920, 0.9920, 0.9920)  3 Ag 2.84, 6 Si 2.86
Cd (0.7500, 0.7500, 0.7500)  6 Cd 2.86

---

Record 8
# CdSi2Ag

A relaxed CdSi2Ag crystal (PBE, the Alexandria database).

Cell lengths 4.9012, 4.9012, 5.5951 Å; angles 73.67, 73.67, 35.04 degrees
Last column: nearest neighbours and their distance in Å.
Fractional coordinates of all 4 atoms:
Cd (0.7470, 0.7470, 0.7389)  3 Ag 2.89-2.91, 2 Cd 2.95, 4 Si 2.96-3.02
Si (0.2498, 0.2498, 0.2088)  3 Si 2.60-2.79, 2 Ag 2.72
Si (0.9884, 0.9884, 0.0641)  3 Si 2.60-2.79, 2 Ag 2.87
Ag (0.5148, 0.5148, 0.4881)  4 Si 2.72-2.87, 3 Cd 2.89-2.91, 2 Ag 2.95

---

Total moment? In order: 0.0, 0.0, 0.0, 0.0, 0.0, 0.0, 0.0, 0.0 μB per formula unit.
Energy relative to the elements, uncorrected? In order: 0.336, 0.449, 0.688, 0.338, 0.471, 0.364, 0.345, 0.393 eV/atom.